1.
First-principles (GGA-PBE) data for a relaxed NaCa2Mo crystal, as listed in the Alexandria database.

abc: 8.0341 8.0341 11.7645
angles: 90.00 90.00 90.00
Space group I-42d (No. 122)
Inequivalent atoms, fractional coordinates:
Na: 0.0000 0.0000 0.0000
Ca: 0.0066 0.2500 0.6250
Mo: 0.0000 0.0000 0.5000

energy above the lowest structure with this stoichiometry = 863.9 meV/atom
formation energy = 154 kJ/mol of atoms
magnetization = 4.449 μB/cell

=====

2.
First-principles (GGA-PBE) data for a relaxed NaCa3Mo crystal, as listed in the Alexandria database.

abc: 5.6545 5.6545 5.6545
angles: 90.00 90.00 90.00
Space group Pm-3m (No. 221)
Inequivalent atoms, fractional coordinates:
Na: 0.0000 0.0000 0.0000
Ca: 0.0000 0.5000 0.5000
Mo: 0.5000 0.5000 0.5000

formation energy = 67 kJ/mol of atoms
magnetization = 0.964 μB/cell

=====

3.
First-principles (GGA-PBE) data for a relaxed NaCa2Mo crystal, as listed in the Alexandria database.

abc: 7.7500 7.7500 7.7500
angles: 90.00 90.00 90.00
Space group Fm-3m (No. 225)
Inequivalent atoms, fractional coordinates:
Na: 0.0000 0.0000 0.0000
Ca: 0.2500 0.2500 0.2500
Mo: 0.0000 0.0000 0.5000

energy above the lowest structure with this stoichiometry = 0.0 meV/atom
formation energy = 70 kJ/mol of atoms
magnetization = 12.504 μB/cell

=====

4.
First-principles (GGA-PBE) data for a relaxed Na4CaMo2 crystal, as listed in the Alexandria database.

abc: 5.9433 5.9433 15.4291
angles: 90.00 90.00 90.00
Space group I4/mmm (No. 139)
Inequivalent atoms, fractional coordinates:
Na: 0.0000 0.0000 0.2245
Na: 0.0000 0.5000 0.0000
Ca: 0.0000 0.0000 0.0000
Mo: 0.0000 0.0000 0.4340

formation energy = 109 kJ/mol of atoms
magnetization = 0.290 μB/cell

=====

Asked for DFT total energy across the records above, the calculation gives -2.446, -2.939, -3.310, -3.002 eV per atom in order.